Arrangement one

# AcYHo3 | Alexandria via LeMat-Bulk | GGA-PBE | optimized geometry
data_AcYHo3
_cell_length_a 18.169
_cell_length_b 4.919
_cell_length_c 8.599
_cell_angle_alpha 90.00
_cell_angle_beta 111.94
_cell_angle_gamma 90.00
_symmetry_space_group_name_H-M 'C 1 2/m 1'
_symmetry_Int_Tables_number 12
loop_
_symmetry_equiv_pos_as_xyz
'x,y,z'
'-x,-y,-z'
'-x,y,-z'
'x,-y,z'
'x+1/2,y+1/2,z'
'-x+1/2,-y+1/2,-z'
'-x+1/2,y+1/2,-z'
'x+1/2,-y+1/2,z'
loop_
_atom_site_label
_atom_site_fract_x
_atom_site_fract_y
_atom_site_fract_z
Ac1 0.115 0.000 0.150
Y1 0.187 0.500 0.888
Ho1 0.056 0.000 0.696
Ho2 0.085 0.500 0.447
Ho3 0.227 0.000 0.626
# M_tot = 0.00 Bohr magnetons per cell
# DOS(E_F) = 7.92 states/eV/f.u.

Arrangement two

# AcYHo3 | Alexandria via LeMat-Bulk | GGA-PBE | optimized geometry
data_AcYHo3
_cell_length_a 5.456
_cell_length_b 17.531
_cell_length_c 7.102
_cell_angle_alpha 90.00
_cell_angle_beta 90.00
_cell_angle_gamma 90.00
_symmetry_space_group_name_H-M 'C m c 21'
_symmetry_Int_Tables_number 36
loop_
_symmetry_equiv_pos_as_xyz
'x,y,z'
'-x,-y,z+1/2'
'-x,y,z'
'x,-y,z+1/2'
'x+1/2,y+1/2,z'
'-x+1/2,-y+1/2,z+1/2'
'-x+1/2,y+1/2,z'
'x+1/2,-y+1/2,z+1/2'
loop_
_atom_site_label
_atom_site_fract_x
_atom_site_fract_y
_atom_site_fract_z
Ac1 0.000 0.198 0.000
Y1 0.000 0.400 0.756
Ho1 0.000 0.001 0.501
Ho2 0.000 0.189 0.500
Ho3 0.000 0.399 0.245
# M_tot = 0.00 Bohr magnetons per cell
# DOS(E_F) = 8.70 states/eV/f.u.

The data favor arrangement two; the next most stable structure lies 43 meV/atom above it.

Arrangement one

# AcY6Ho | Alexandria via LeMat-Bulk | GGA-PBE | optimized geometry
data_AcY6Ho
_cell_length_a 6.737
_cell_length_b 6.844
_cell_length_c 6.884
_cell_angle_alpha 119.64
_cell_angle_beta 91.80
_cell_angle_gamma 95.25
_symmetry_space_group_name_H-M 'P -1'
_symmetry_Int_Tables_number 2
loop_
_symmetry_equiv_pos_as_xyz
'x,y,z'
'-x,-y,-z'
loop_
_atom_site_label
_atom_site_fract_x
_atom_site_fract_y
_atom_site_fract_z
Ac1 0.000 0.000 0.000
Y1 0.259 0.573 0.520
Y2 0.262 0.565 0.040
Y3 0.277 0.094 0.543
Ho1 0.500 0.000 0.000
# M_tot = 0.00 Bohr magnetons per cell
# DOS(E_F) = 14.65 states/eV/f.u.

Arrangement two

# AcY6Ho | Alexandria via LeMat-Bulk | GGA-PBE | optimized geometry
data_AcY6Ho
_cell_length_a 9.7754
_cell_length_b 9.7754
_cell_length_c 9.9895
_cell_angle_alpha 90.00
_cell_angle_beta 90.00
_cell_angle_gamma 120.00
_symmetry_space_group_name_H-M 'R -3'
_symmetry_Int_Tables_number 148
_symmetry_space_group_name_Hall '-R 3'
loop_
_atom_site_label
_atom_site_fract_x
_atom_site_fract_y
_atom_site_fract_z
Ac1 0.0000 0.0000 0.0000
Y1 0.0032 0.7091 0.2522
Ho1 0.0000 0.0000 0.5000
# M_tot = 0.00 Bohr magnetons per cell
# DOS(E_F) = 14.68 states/eV/f.u.

The data favor arrangement two; the next most stable structure lies 64 meV/atom above it.

Arrangement one

# AcY4Ho4 | Alexandria via LeMat-Bulk | GGA-PBE | optimized geometry
data_AcY4Ho4
_cell_length_a 6.838
_cell_length_b 8.765
_cell_length_c 10.763
_cell_angle_alpha 78.19
_cell_angle_beta 74.71
_cell_angle_gamma 76.29
_symmetry_space_group_name_H-M 'P -1'
_symmetry_Int_Tables_number 2
loop_
_symmetry_equiv_pos_as_xyz
'x,y,z'
'-x,-y,-z'
loop_
_atom_site_label
_atom_site_fract_x
_atom_site_fract_y
_atom_site_fract_z
Ac1 0.249 0.032 0.285
Y1 0.252 0.024 0.951
Y2 0.260 0.024 0.623
Y3 0.415 0.334 0.710
Y4 0.422 0.340 0.374
Ho1 0.110 0.658 0.203
Ho2 0.112 0.655 0.539
Ho3 0.117 0.660 0.873
Ho4 0.419 0.338 0.038
# M_tot = 0.00 Bohr magnetons per cell
# DOS(E_F) = 16.21 states/eV/f.u.

Arrangement two

# AcY4Ho4 | Alexandria via LeMat-Bulk | GGA-PBE | optimized geometry
data_AcY4Ho4
_cell_length_a 10.815
_cell_length_b 10.815
_cell_length_c 5.068
_cell_angle_alpha 90.00
_cell_angle_beta 90.00
_cell_angle_gamma 90.00
_symmetry_space_group_name_H-M 'I 4/m m m'
_symmetry_Int_Tables_number 139
_symmetry_space_group_name_Hall '-I 4 2'
loop_
_atom_site_label
_atom_site_fract_x
_atom_site_fract_y
_atom_site_fract_z
Ac1 0.000 0.000 0.000
Y1 0.000 0.335 0.000
Ho1 0.170 0.170 0.500
# M_tot = 0.00 Bohr magnetons per cell
# DOS(E_F) = 13.79 states/eV/f.u.

The data favor arrangement two; the next most stable structure lies 13 meV/atom above it.

Arrangement one

# AcY2Ho | Alexandria via LeMat-Bulk | GGA-PBE | optimized geometry
data_AcY2Ho
_cell_length_a 3.6950
_cell_length_b 3.6950
_cell_length_c 35.4489
_cell_angle_alpha 90.00
_cell_angle_beta 90.00
_cell_angle_gamma 120.00
_symmetry_space_group_name_H-M 'R 3 m'
_symmetry_Int_Tables_number 160
_symmetry_space_group_name_Hall 'R 3 -2"'
loop_
_atom_site_label
_atom_site_fract_x
_atom_site_fract_y
_atom_site_fract_z
Ac1 0.0000 0.0000 0.0000
Y1 0.0000 0.0000 0.2464
Y2 0.0000 0.0000 0.4212
Ho1 0.0000 0.0000 0.8341
# M_tot = 0.00 Bohr magnetons per cell
# DOS(E_F) = 5.81 states/eV/f.u.

Arrangement two

# AcY2Ho | Alexandria via LeMat-Bulk | GGA-PBE | optimized geometry
data_AcY2Ho
_cell_length_a 4.136
_cell_length_b 4.136
_cell_length_c 8.286
_cell_angle_alpha 90.00
_cell_angle_beta 90.00
_cell_angle_gamma 90.00
_symmetry_space_group_name_H-M 'P 4/m m m'
_symmetry_Int_Tables_number 123
_symmetry_space_group_name_Hall '-P 4 2'
loop_
_atom_site_label
_atom_site_fract_x
_atom_site_fract_y
_atom_site_fract_z
Ac1 0.000 0.000 0.000
Y1 0.500 0.500 0.277
Ho1 0.000 0.000 0.500
# M_tot = 0.00 Bohr magnetons per cell
# DOS(E_F) = 7.33 states/eV/f.u.

The data favor arrangement one; the next most stable structure lies 37 meV/atom above it.

Arrangement one

# AcYHo | Alexandria via LeMat-Bulk | GGA-PBE | optimized geometry
data_AcYHo
_cell_length_a 6.504
_cell_length_b 12.022
_cell_length_c 6.212
_cell_angle_alpha 90.00
_cell_angle_beta 118.27
_cell_angle_gamma 90.00
_symmetry_space_group_name_H-M 'P 1 21/c 1'
_symmetry_Int_Tables_number 14
loop_
_symmetry_equiv_pos_as_xyz
'x,y,z'
'-x,-y,-z'
'-x,y+1/2,-z+1/2'
'x,-y+1/2,z+1/2'
loop_
_atom_site_label
_atom_site_fract_x
_atom_site_fract_y
_atom_site_fract_z
Ac1 0.168 0.133 0.157
Y1 0.186 0.615 0.014
Ho1 0.483 0.617 0.660
# M_tot = 0.00 Bohr magnetons per cell
# DOS(E_F) = 3.97 states/eV/f.u.

Arrangement two

# AcYHo | Alexandria via LeMat-Bulk | GGA-PBE | optimized geometry
data_AcYHo
_cell_length_a 5.084
_cell_length_b 5.084
_cell_length_c 8.792
_cell_angle_alpha 90.00
_cell_angle_beta 90.00
_cell_angle_gamma 90.00
_symmetry_space_group_name_H-M 'P 4/n m m'
_symmetry_Int_Tables_number 129
loop_
_symmetry_equiv_pos_as_xyz
'x,y,z'
'-x,-y,-z'
'-y+1/2,x,z'
'y+1/2,-x,-z'
'-x+1/2,-y+1/2,z'
'x+1/2,y+1/2,-z'
'y,-x+1/2,z'
'-y,x+1/2,-z'
'x+1/2,-y,-z'
'-x+1/2,y,z'
'-y,-x,-z'
'y,x,z'
'-x,y+1/2,-z'
'x,-y+1/2,z'
'y+1/2,x+1/2,-z'
'-y+1/2,-x+1/2,z'
loop_
_atom_site_label
_atom_site_fract_x
_atom_site_fract_y
_atom_site_fract_z
Ac1 0.250 0.750 0.000
Y1 0.250 0.250 0.310
Ho1 0.250 0.250 0.702
# M_tot = 0.00 Bohr magnetons per cell
# DOS(E_F) = 5.01 states/eV/f.u.

The data favor arrangement one; the next most stable structure lies 268 meV/atom above it.

Arrangement one

# AcY12Ho7 | Alexandria via LeMat-Bulk | GGA-PBE | optimized geometry
data_AcY12Ho7
_cell_length_a 12.1641
_cell_length_b 12.1641
_cell_length_c 15.7300
_cell_angle_alpha 90.00
_cell_angle_beta 90.00
_cell_angle_gamma 120.00
_symmetry_space_group_name_H-M 'R -3'
_symmetry_Int_Tables_number 148
_symmetry_space_group_name_Hall '-R 3'
loop_
_atom_site_label
_atom_site_fract_x
_atom_site_fract_y
_atom_site_fract_z
Ac1 0.0000 0.0000 0.0000
Y1 0.0097 0.4408 0.7128
Y2 0.0537 0.5881 0.0857
Ho1 0.0000 0.0000 0.5000
Ho2 0.0466 0.1886 0.7987
# M_tot = 0.00 Bohr magnetons per cell
# DOS(E_F) = 41.63 states/eV/f.u.

Arrangement two

# AcY12Ho7 | Alexandria via LeMat-Bulk | GGA-PBE | optimized geometry
data_AcY12Ho7
_cell_length_a 11.376
_cell_length_b 11.376
_cell_length_c 11.376
_cell_angle_alpha 90.00
_cell_angle_beta 90.00
_cell_angle_gamma 90.00
_symmetry_space_group_name_H-M 'I m -3'
_symmetry_Int_Tables_number 204
_symmetry_space_group_name_Hall '-I 2 2 3'
loop_
_atom_site_label
_atom_site_fract_x
_atom_site_fract_y
_atom_site_fract_z
Ac1 0.000 0.000 0.000
Y1 0.000 0.261 0.260
Ho1 0.000 0.000 0.500
Ho2 0.250 0.250 0.250
# M_tot = 0.00 Bohr magnetons per cell
# DOS(E_F) = 26.39 states/eV/f.u.

The data favor arrangement one; the next most stable structure lies 425 meV/atom above it.

Arrangement one

# AcYHo6 | Alexandria via LeMat-Bulk | GGA-PBE | optimized geometry
data_AcYHo6
_cell_length_a 5.080
_cell_length_b 5.080
_cell_length_c 10.150
_cell_angle_alpha 90.00
_cell_angle_beta 90.00
_cell_angle_gamma 90.00
_symmetry_space_group_name_H-M 'P 4/m m m'
_symmetry_Int_Tables_number 123
_symmetry_space_group_name_Hall '-P 4 2'
loop_
_atom_site_label
_atom_site_fract_x
_atom_site_fract_y
_atom_site_fract_z
Ac1 0.000 0.000 0.000
Y1 0.000 0.000 0.500
Ho1 0.000 0.500 0.258
Ho2 0.500 0.500 0.000
Ho3 0.500 0.500 0.500
# M_tot = 0.00 Bohr magnetons per cell
# DOS(E_F) = 11.52 states/eV/f.u.

Arrangement two

# AcYHo6 | Alexandria via LeMat-Bulk | GGA-PBE | optimized geometry
data_AcYHo6
_cell_length_a 9.678
_cell_length_b 6.959
_cell_length_c 8.887
_cell_angle_alpha 90.00
_cell_angle_beta 102.86
_cell_angle_gamma 90.00
_symmetry_space_group_name_H-M 'C 1 2/m 1'
_symmetry_Int_Tables_number 12
loop_
_symmetry_equiv_pos_as_xyz
'x,y,z'
'-x,-y,-z'
'-x,y,-z'
'x,-y,z'
'x+1/2,y+1/2,z'
'-x+1/2,-y+1/2,-z'
'-x+1/2,y+1/2,-z'
'x+1/2,-y+1/2,z'
loop_
_atom_site_label
_atom_site_fract_x
_atom_site_fract_y
_atom_site_fract_z
Ac1 0.000 0.000 0.000
Y1 0.000 0.500 0.500
Ho1 0.123 0.500 0.920
Ho2 0.219 0.261 0.299
# M_tot = 0.00 Bohr magnetons per cell
# DOS(E_F) = 15.70 states/eV/f.u.

The data favor arrangement one; the next most stable structure lies 361 meV/atom above it.

Arrangement one

# AcY2Ho7 | Alexandria via LeMat-Bulk | GGA-PBE | optimized geometry
data_AcY2Ho7
_cell_length_a 6.200
_cell_length_b 7.159
_cell_length_c 8.004
_cell_angle_alpha 77.08
_cell_angle_beta 75.04
_cell_angle_gamma 73.35
_symmetry_space_group_name_H-M 'P -1'
_symmetry_Int_Tables_number 2
loop_
_symmetry_equiv_pos_as_xyz
'x,y,z'
'-x,-y,-z'
loop_
_atom_site_label
_atom_site_fract_x
_atom_site_fract_y
_atom_site_fract_z
Ac1 0.000 0.000 0.000
Y1 0.203 0.797 0.597
Ho1 0.000 0.500 0.000
Ho2 0.200 0.304 0.597
Ho3 0.399 0.102 0.203
Ho4 0.403 0.597 0.202
# M_tot = 0.00 Bohr magnetons per cell
# DOS(E_F) = 14.64 states/eV/f.u.

Arrangement two

# AcY2Ho7 | Alexandria via LeMat-Bulk | GGA-PBE | optimized geometry
data_AcY2Ho7
_cell_length_a 8.691
_cell_length_b 16.211
_cell_length_c 5.711
_cell_angle_alpha 90.00
_cell_angle_beta 90.00
_cell_angle_gamma 90.00
_symmetry_space_group_name_H-M 'C m m m'
_symmetry_Int_Tables_number 65
_symmetry_space_group_name_Hall '-C 2 2'
loop_
_atom_site_label
_atom_site_fract_x
_atom_site_fract_y
_atom_site_fract_z
Ac1 0.000 0.000 0.000
Y1 0.000 0.296 0.500
Ho1 0.000 0.221 0.000
Ho2 0.000 0.500 0.500
Ho3 0.177 0.116 0.500
# M_tot = 0.00 Bohr magnetons per cell
# DOS(E_F) = 13.91 states/eV/f.u.

The data favor arrangement one; the next most stable structure lies 662 meV/atom above it.